Entry a
Compound: ScTi3Tl
Source: the Alexandria database
Functional: PBE
Structure: optimized geometry

Summary:
Symmetry = Pm-3m
D(E_F) = 8.3 states/eV/cell
Crystal system = cubic

```
ScTi3Tl
1.0
5.097 0.000 0.000
0.000 5.097 0.000
0.000 0.000 5.097
Sc Ti Tl
1 3 1
direct
0.000 0.000 0.000
0.000 0.500 0.500
0.500 0.000 0.500
0.500 0.500 0.000
0.500 0.500 0.500
```

=====

Entry b
Compound: ScTi3Tl
Source: the Alexandria database
Functional: PBE
Structure: optimized geometry

Summary:
Symmetry = Pm-3m
D(E_F) = 7.8 states/eV/cell
Crystal system = cubic

```
ScTi3Tl
1.0
4.760 0.000 0.000
0.000 4.760 0.000
0.000 0.000 4.760
Sc Ti Tl
1 3 1
direct
0.000 0.000 0.000
0.000 0.000 0.500
0.000 0.500 0.000
0.500 0.000 0.000
0.500 0.500 0.500
```

=====

Calculated relative energies: entry a 29; entry b 0, given in meV per atom

=====

Entry a
Compound: ScUTi2
Source: the Alexandria database
Functional: PBE
Structure: optimized geometry

Summary:
Symmetry = P4/mmm
D(E_F) = 7.6 states/eV/cell
Crystal system = tetragonal

```
ScUTi2
1.0
3.445 0.000 0.000
0.000 3.445 0.000
0.000 0.000 6.724
Sc U Ti
1 1 2
direct
0.000 0.000 0.000
0.000 0.000 0.500
0.500 0.500 0.291
0.500 0.500 0.709
```

=====

Entry b
Compound: ScUTi2
Source: the Alexandria database
Functional: PBE
Structure: optimized geometry

Summary:
Symmetry = Fm-3m
D(E_F) = 8.1 states/eV/cell
Crystal system = cubic

```
ScUTi2
1.0
0.000 3.402 3.402
3.402 0.000 3.402
3.402 3.402 0.000
Sc U Ti
1 1 2
direct
0.000 0.000 0.000
0.500 0.500 0.500
0.250 0.250 0.250
0.750 0.750 0.750
```

=====

Calculated relative energies: entry a 0; entry b 77, given in meV per atom

=====

Entry a
Compound: ScTiW
Source: the Alexandria database
Functional: PBE
Structure: optimized geometry

Summary:
Symmetry = I4mm
D(E_F) = 3.4 states/eV/cell
Crystal system = tetragonal

```
ScTiW
1.0
-1.675 1.675 5.009
1.675 -1.675 5.009
1.675 1.675 -5.009
Sc Ti W
1 1 1
direct
0.000 0.000 0.000
0.296 0.296 0.000
0.679 0.679 0.000
```

=====

Entry b
Compound: ScTiW
Source: the Alexandria database
Functional: PBE
Structure: optimized geometry

Summary:
Symmetry = Amm2
D(E_F) = 22.2 states/eV/cell
Crystal system = orthorhombic

```
ScTiW
1.0
9.062 0.000 0.000
0.000 2.744 4.616
0.000 -2.744 4.616
Sc Ti W
4 4 4
direct
0.175 0.000 0.000
0.301 0.666 0.666
0.699 0.666 0.666
0.825 0.000 0.000
0.249 0.323 0.323
0.500 0.172 0.669
0.500 0.669 0.172
0.751 0.323 0.323
0.000 0.499 0.499
0.000 0.506 0.993
0.000 0.993 0.506
0.500 0.175 0.175
```

=====

Calculated relative energies: entry a 0; entry b 14, given in meV per atom

=====

Entry a
Compound: YSc2Ti2
Source: the Alexandria database
Functional: PBE
Structure: optimized geometry

Summary:
Symmetry = P4/mbm
D(E_F) = 17.7 states/eV/cell
Crystal system = tetragonal

```
YSc2Ti2
1.0
8.290 0.000 0.000
0.000 8.290 0.000
0.000 0.000 3.347
Y Sc Ti
2 4 4
direct
0.000 0.000 0.000
0.500 0.500 0.000
0.175 0.325 0.500
0.325 0.825 0.500
0.675 0.175 0.500
0.825 0.675 0.500
0.115 0.615 0.000
0.385 0.115 0.000
0.615 0.885 0.000
0.885 0.385 0.000
```

=====

Entry b
Compound: YSc2Ti2
Source: the Alexandria database
Functional: PBE
Structure: optimized geometry

Summary:
Symmetry = P4/mbm
D(E_F) = 15.0 states/eV/cell
Crystal system = tetragonal

```
YSc2Ti2
1.0
8.363 0.000 0.000
0.000 8.363 0.000
0.000 0.000 3.274
Y Sc Ti
2 4 4
direct
0.000 0.000 0.000
0.500 0.500 0.000
0.126 0.374 0.000
0.374 0.874 0.000
0.626 0.126 0.000
0.874 0.626 0.000
0.170 0.670 0.500
0.330 0.170 0.500
0.670 0.830 0.500
0.830 0.330 0.500
```

=====

Calculated relative energies: entry a 0; entry b 53, given in meV per atom

=====

Entry a
Compound: YScTi2
Source: the Alexandria database
Functional: PBE
Structure: optimized geometry

Summary:
Symmetry = Fm-3m
D(E_F) = 8.5 states/eV/cell
Crystal system = cubic

```
YScTi2
1.0
0.000 3.570 3.570
3.570 0.000 3.570
3.570 3.570 0.000
Y Sc Ti
1 1 2
direct
0.000 0.000 0.000
0.500 0.500 0.500
0.250 0.250 0.250
0.750 0.750 0.750
```

=====

Entry b
Compound: YScTi2
Source: the Alexandria database
Functional: PBE
Structure: optimized geometry

Summary:
Symmetry = I-42d
D(E_F) = 7.2 states/eV/cell
Crystal system = tetragonal

```
YScTi2
1.0
-3.892 3.892 3.028
3.892 -3.892 3.028
3.892 3.892 -3.028
Y Sc Ti
2 2 4
direct
0.000 0.000 0.000
0.750 0.250 0.500
0.250 0.750 0.500
0.500 0.500 0.000
0.138 0.625 0.013
0.375 0.388 0.513
0.612 0.125 0.987
0.875 0.862 0.487
```

=====

Calculated relative energies: entry a 0; entry b 291, given in meV per atom

=====

Entry a
Compound: Y2ScTi
Source: the Alexandria database
Functional: PBE
Structure: optimized geometry

Summary:
Symmetry = Fm-3m
D(E_F) = 7.9 states/eV/cell
Crystal system = cubic

```
Y2ScTi
1.0
0.000 3.755 3.755
3.755 0.000 3.755
3.755 3.755 0.000
Y Sc Ti
2 1 1
direct
0.250 0.250 0.250
0.750 0.750 0.750
0.000 0.000 0.000
0.500 0.500 0.500
```

=====

Entry b
Compound: Y2ScTi
Source: the Alexandria database
Functional: PBE
Structure: optimized geometry

Summary:
Symmetry = P4/mmm
D(E_F) = 6.8 states/eV/cell
Crystal system = tetragonal

```
Y2ScTi
1.0
3.368 0.000 0.000
0.000 3.368 0.000
0.000 0.000 9.195
Y Sc Ti
2 1 1
direct
0.000 0.000 0.230
0.000 0.000 0.770
0.500 0.500 0.500
0.500 0.500 0.000
```

=====

Calculated relative energies: entry a 45; entry b 0, given in meV per atom

=====

Entry a
Compound: Y2Sc2Ti
Source: the Alexandria database
Functional: PBE
Structure: optimized geometry

Summary:
Symmetry = P4/mbm
D(E_F) = 12.4 states/eV/cell
Crystal system = tetragonal

```
Y2Sc2Ti
1.0
8.626 0.000 0.000
0.000 8.626 0.000
0.000 0.000 3.528
Y Sc Ti
4 4 2
direct
0.174 0.326 0.000
0.326 0.826 0.000
0.674 0.174 0.000
0.826 0.674 0.000
0.126 0.626 0.500
0.374 0.126 0.500
0.626 0.874 0.500
0.874 0.374 0.500
0.000 0.000 0.500
0.500 0.500 0.500
```

=====

Entry b
Compound: Y2Sc2Ti
Source: the Alexandria database
Functional: PBE
Structure: optimized geometry

Summary:
Symmetry = I4/mmm
D(E_F) = 5.3 states/eV/cell
Crystal system = tetragonal

```
Y2Sc2Ti
1.0
-2.106 2.106 7.827
2.106 -2.106 7.827
2.106 2.106 -7.827
Y Sc Ti
2 2 1
direct
0.250 0.750 0.500
0.750 0.250 0.500
0.088 0.088 0.000
0.912 0.912 0.000
0.500 0.500 0.000
```

=====

Calculated relative energies: entry a 0; entry b 282, given in meV per atom

=====

Entry a
Compound: ScTiZn4
Source: the Alexandria database
Functional: PBE
Structure: optimized geometry

Summary:
Symmetry = F-43m
D(E_F) = 5.4 states/eV/cell
Crystal system = cubic

```
ScTiZn4
1.0
0.000 3.644 3.644
3.644 0.000 3.644
3.644 3.644 0.000
Sc Ti Zn
1 1 4
direct
0.000 0.000 0.000
0.750 0.750 0.750
0.375 0.375 0.375
0.375 0.375 0.874
0.375 0.874 0.375
0.874 0.375 0.375
```

=====

Entry b
Compound: ScTiZn4
Source: the Alexandria database
Functional: PBE
Structure: optimized geometry

Summary:
Symmetry = Pmmm
D(E_F) = 4.7 states/eV/cell
Crystal system = orthorhombic

```
ScTiZn4
1.0
3.019 0.000 0.000
0.000 4.329 0.000
0.000 0.000 7.499
Sc Ti Zn
1 1 4
direct
0.000 0.000 0.000
0.000 0.500 0.500
0.500 0.000 0.338
0.500 0.000 0.662
0.500 0.500 0.172
0.500 0.500 0.828
```

=====

Calculated relative energies: entry a 13; entry b 0, given in meV per atom